A relaxed CaRuPb2 crystal. Source: Alexandria via LeMat-Bulk, functional PBE-GGA.

a b c (Å): 4.4453 4.4453 9.6354
angles (deg): 90.00 90.00 90.00
Closest atoms and distances in Å follow each position.
Space group I-4m2 (No. 119)
Inequivalent atoms, fractional coordinates:
Ca: 0.0000 0.0000 0.0000 (multiplicity 2)  8 Pb 3.14-3.28, 4 Ru 3.28
Ru: 0.0000 0.5000 0.2500 (multiplicity 2)  8 Pb 3.14-3.28, 4 Ca 3.28
Pb: 0.0000 0.0000 0.5000 (multiplicity 2)  4 Ca 3.14, 4 Pb 3.28, 4 Ru 3.28
Pb: 0.0000 0.5000 0.7500 (multiplicity 2)  4 Ru 3.14, 4 Pb 3.28, 4 Ca 3.28

- Magnetization: 0.8 μB per formula unit

A relaxed CaRuPb2 crystal. Source: Alexandria via LeMat-Bulk, functional PBE-GGA.

a b c (Å): 3.6877 3.6877 26.2086
angles (deg): 90.00 90.00 120.00
Closest atoms and distances in Å follow each position.
Space group R-3m (No. 166, hexagonal axes)
Inequivalent atoms, fractional coordinates:
Ca: 0.0000 0.0000 0.0000 (multiplicity 3)  6 Pb 3.32, 6 Ca 3.69
Ru: 0.0000 0.0000 0.5000 (multiplicity 3)  6 Pb 2.80
Pb: 0.0000 0.0000 0.2360 (multiplicity 6)  3 Ru 2.80

- Magnetization: 0.9 μB per formula unit

A relaxed CaRuPb crystal. Source: Alexandria via LeMat-Bulk, functional PBE-GGA.

a b c (Å): 6.7992 6.7992 6.7992
angles (deg): 90.00 90.00 90.00
Closest atoms and distances in Å follow each position.
Space group F-43m (No. 216)
Inequivalent atoms, fractional coordinates:
Ca: 0.0000 0.0000 0.0000 (multiplicity 4)  4 Ru 2.94, 4 Pb 2.94
Ru: 0.2500 0.2500 0.2500 (multiplicity 4)  4 Ca 2.94
Pb: 0.2500 0.2500 0.7500 (multiplicity 4)  4 Ca 2.94

- Magnetization: 0.0 μB per formula unit

no.,energy of formation from the pure elements (kJ/mol of atoms),raw total energy (hartree per atom)
1,22.57,-0.1632
2,12.95,-0.1668
3,86.56,-0.1506